18
Lattice="5.586 0.000 0.000 -2.793 4.838 0.000 0.000 0.000 11.395" Properties=species:S:1:pos:R:3 comment="BaPuScO6, optimized geometry, DFT PBE" e_form_raw_mev_per_atom=-2865.1 final_energy_ev_per_atom=-8.680 density_g_cm3=5.6 pbc="T T T"
Ba 0.000 0.000 0.000
Ba 0.000 0.000 5.697
O -1.676 3.049 9.653
O -0.685 4.766 7.439
O 4.470 1.790 1.742
O 1.117 1.790 3.956
O 2.108 0.072 1.742
O 1.802 2.976 1.742
O 1.676 3.049 7.439
O 0.685 4.766 9.653
O 3.785 2.976 3.956
O 0.991 1.862 9.653
O -0.991 1.862 7.439
O 3.478 0.072 3.956
Pu 0.000 3.225 8.546
Pu 2.793 1.613 2.849
Sc 2.793 1.613 8.546
Sc 0.000 3.225 2.849